A relaxed structure of Cr2InF, computed with PBE with a Hubbard U.

Results
Its energy above the lowest structure with this stoichiometry is 0.30 eV per formula unit. The calculation puts the calculated density at 5.20 g/cm³. For the total energy, the calculation gives -79.8 eV per cell. Its space-group type is Fm-3m.

```
Cr2InF
1.0
6.723 0.000 0.000
0.000 6.723 0.000
0.000 0.000 6.723
Cr In F
8 4 4
direct
0.250 0.250 0.250
0.250 0.250 0.750
0.250 0.750 0.250
0.250 0.750 0.750
0.750 0.250 0.250
0.750 0.250 0.750
0.750 0.750 0.250
0.750 0.750 0.750
0.000 0.000 0.000
0.000 0.500 0.500
0.500 0.000 0.500
0.500 0.500 0.000
0.000 0.000 0.500
0.000 0.500 0.000
0.500 0.000 0.000
0.500 0.500 0.500
```